Density functional theory data (PBE-GGA) for a relaxed Pr2GdAl7Cu2 crystal.

Unit cell a=5.5773 b=5.5773 c=25.8400 alpha=90.00 beta=90.00 gamma=120.00
Last column: nearest neighbours and their distance in Å.
Space group R-3m (No. 166, hexagonal axes)
Inequivalent atoms, fractional coordinates:
Pr: 0.0000 0.0000 0.1415 (multiplicity 6)  12 Al 3.25-3.37, 3 Pr 3.47
Gd: 0.0000 0.0000 0.0000 (multiplicity 3)  6 Cu 3.22, 12 Al 3.42
Al: 0.0000 0.0000 0.5000 (multiplicity 3)  6 Al 2.84
Al: 0.0055 0.5028 0.9233 (multiplicity 18)  2 Cu 2.53-2.58, 2 Al 2.74
Cu: 0.0000 0.0000 0.3353 (multiplicity 6)  6 Al 2.53-2.58

Values from the calculation:
For the calculated total energy, the calculation gives -4.4562 eV per atom.